(1)
A plane-wave DFT calculation with PBE was carried out for crystalline Cr4IrAu at its relaxed geometry.

DFT total energy, eV/atom: -8.31

```
data_Cr4IrAu
_symmetry_space_group_name_H-M 'F -4 3 m'
_symmetry_Int_Tables_number 216
_symmetry_space_group_name_Hall 'F -4 2 3'
_cell_length_a 6.7886
_cell_length_b 6.7886
_cell_length_c 6.7886
_cell_angle_alpha 90.00
_cell_angle_beta 90.00
_cell_angle_gamma 90.00
loop_
_atom_site_label
_atom_site_fract_x
_atom_site_fract_y
_atom_site_fract_z
Cr1 0.1214 0.1214 0.3786
Ir1 0.0000 0.0000 0.0000
Au1 0.2500 0.2500 0.7500
```

(2)
A plane-wave DFT calculation with PBE was carried out for crystalline YHfCoTc at its relaxed geometry.

DFT total energy, eV/atom: -8.64

```
data_YHfCoTc
_symmetry_space_group_name_H-M 'F -4 3 m'
_symmetry_Int_Tables_number 216
_symmetry_space_group_name_Hall 'F -4 2 3'
_cell_length_a 6.5852
_cell_length_b 6.5852
_cell_length_c 6.5852
_cell_angle_alpha 90.00
_cell_angle_beta 90.00
_cell_angle_gamma 90.00
loop_
_atom_site_label
_atom_site_fract_x
_atom_site_fract_y
_atom_site_fract_z
Y1 0.0000 0.0000 0.0000
Hf1 0.0000 0.0000 0.5000
Co1 0.2500 0.2500 0.7500
Tc1 0.2500 0.2500 0.2500
```

Which of these has the highest DFT total energy?
Cr4IrAu

Among the records above, which one has the highest DFT total energy?
Cr4IrAu